# 1
Compound: LiPuSi
Source: the Alexandria database
Functional: PBE
Structure: relaxed Values from VASP.

```
&SYSTEM
  ibrav = 0, nat = 3, ntyp = 3
/
ATOMIC_SPECIES
Pu 244.00 Pu.upf
Li 6.94 Li.upf
Si 28.09 Si.upf
ATOMIC_POSITIONS crystal
Pu 0.6668 0.3333 0.6667
Li 0.1664 0.6667 0.3333
Si 0.1668 0.0000 0.0000
CELL_PARAMETERS angstrom
-1.3886 -2.8022 -0.3119
4.0622 -1.9500 -0.5659
-1.7617 0.4093 4.1657
```

Output
SG: P-6m2, No. 187
Formation energy without anion corrections: -0.23 eV/atom
DOS(E_F): 5.56 states/eV/cell

# 2
Compound: LiPuSi
Source: the Alexandria database
Functional: PBE
Structure: relaxed Values from VASP.

```
&SYSTEM
  ibrav = 0, nat = 6, ntyp = 3
/
ATOMIC_SPECIES
Pu 244.00 Pu.upf
Li 6.94 Li.upf
Si 28.09 Si.upf
ATOMIC_POSITIONS crystal
Pu 0.8575 0.3925 0.3925
Pu 0.1425 0.6075 0.6075
Li 0.0000 0.0000 0.0000
Li 0.5000 0.0000 0.0000
Si 0.5000 0.0000 0.5000
Si 0.5000 0.5000 0.0000
CELL_PARAMETERS angstrom
4.4564 0.0000 2.5021
1.5882 4.5243 2.3908
-0.0774 -0.0303 5.3573
```

Output
SG: Imma, No. 74
Formation energy without anion corrections: -0.27 eV/atom
DOS(E_F): 11.03 states/eV/cell

# 3
Compound: LiPuSiTc
Source: the Alexandria database
Functional: PBE
Structure: relaxed Values from VASP.

```
&SYSTEM
  ibrav = 0, nat = 4, ntyp = 4
/
ATOMIC_SPECIES
Tc 98.00 Tc.upf
Si 28.09 Si.upf
Li 6.94 Li.upf
Pu 244.00 Pu.upf
ATOMIC_POSITIONS crystal
Tc 0.0000 0.0000 0.0000
Si 0.7500 0.7500 0.7500
Li 0.5000 0.5000 0.5000
Pu 0.2500 0.2500 0.2500
CELL_PARAMETERS angstrom
4.5135 0.0000 0.0000
2.2567 3.9088 0.0000
2.2567 1.3029 3.6852
```

Output
SG: F-43m, No. 216
Formation energy without anion corrections: -0.05 eV/atom
DOS(E_F): 9.33 states/eV/cell

# 4
Compound: LiPuZnSi
Source: the Alexandria database
Functional: PBE
Structure: relaxed Values from VASP.

```
&SYSTEM
  ibrav = 0, nat = 4, ntyp = 4
/
ATOMIC_SPECIES
Pu 244.00 Pu.upf
Li 6.94 Li.upf
Si 28.09 Si.upf
Zn 65.41 Zn.upf
ATOMIC_POSITIONS crystal
Pu 0.0000 0.0000 0.0000
Li 0.5000 0.5000 0.5000
Si 0.7500 0.7500 0.7500
Zn 0.2500 0.2500 0.2500
CELL_PARAMETERS angstrom
4.7347 0.0000 0.0000
2.3674 4.1004 0.0000
2.3674 1.3668 3.8659
```

Output
SG: F-43m, No. 216
Formation energy without anion corrections: -0.19 eV/atom
DOS(E_F): 6.83 states/eV/cell